Record 1
PrHo2Th3P6 | Alexandria via LeMat-Bulk | GGA-PBE | relaxed; formation energy = -1.57 eV per atom; V = 24.420 Å³/atom; calculated density = 7.67 g cm⁻³; symmetry = C2/m; total magnetic moment = 0.00 μB/f.u.
1.0
7.1236 0.0036 0.0003
-3.5569 6.1720 0.0003
-1.1895 -2.0596 6.6630
Ho P Pr Th
2 6 1 3
Direct
0.3327 0.6673 0.0000
0.6673 0.3327 0.0000
0.7408 0.7408 0.2454
0.5768 0.9176 0.7529
0.9176 0.5768 0.7529
0.4232 0.0824 0.2471
0.0824 0.4232 0.2471
0.2592 0.2592 0.7546
0.0000 0.0000 0.0000
0.1652 0.8348 0.5000
0.8348 0.1652 0.5000
0.5000 0.5000 0.5000



Record 2
CeB2Rh6 | Alexandria via LeMat-Bulk | GGA-PBE | relaxed; formation energy = -0.23 eV per atom; V = 15.945 Å³/atom; calculated density = 9.02 g cm⁻³; symmetry = P-31m; total magnetic moment = 0.00 μB/f.u.
1.0
-3.8627 -2.3576 -1.5498
4.2260 -0.6648 -2.1398
1.4673 -5.4149 4.5803
B Rh Ce
2 6 1
Direct
0.6667 0.3333 0.5000
0.3333 0.6667 0.5000
0.6689 0.6689 0.6908
0.0000 0.3311 0.6908
0.3311 0.3311 0.3092
0.6689 0.0000 0.3092
0.0000 0.6689 0.3092
0.3311 0.0000 0.6908
0.0000 0.0000 0.0000



Record 3
MgNbIn3 | Alexandria via LeMat-Bulk | GGA-PBE | relaxed; formation energy = 1.07 eV per atom; excess energy over the best structure of this formula in the dataset = 0.466 eV/atom; V = 28.678 Å³/atom; calculated density = 5.35 g cm⁻³; symmetry = Pm-3m; total magnetic moment = 3.01 μB/f.u.
1.0
-4.3228 1.2929 -2.6529
2.5910 -0.5899 -4.5094
-1.4129 -5.0375 -0.1528
Mg Nb In
1 1 3
Direct
0.0000 0.0000 0.0000
0.5000 0.5000 0.5000
0.0000 0.5000 0.0000
0.5000 0.0000 0.0000
0.0000 0.0000 0.5000



Record 4
Pr3Be2AgPd9 | Alexandria via LeMat-Bulk | GGA-PBE | relaxed; formation energy = -0.49 eV per atom; V = 19.194 Å³/atom; calculated density = 8.69 g cm⁻³; symmetry = P-3m1; total magnetic moment = 0.00 μB/f.u.
1.0
6.8043 0.0000 0.0000
-3.4022 5.8927 0.0000
0.0000 0.0000 7.1806
Pd Pr Be Ag
9 3 2 1
Direct
0.5000 0.0000 0.0000
0.8098 0.1902 0.6821
0.8098 0.6196 0.6821
0.5000 0.5000 0.0000
0.6196 0.8098 0.3179
0.3804 0.1902 0.6821
0.1902 0.3804 0.3179
0.1902 0.8098 0.3179
0.0000 0.5000 0.0000
0.6667 0.3333 0.3354
0.3333 0.6667 0.6646
0.0000 0.0000 0.0000
0.3333 0.6667 0.1261
0.6667 0.3333 0.8739
0.0000 0.0000 0.5000